[1]
This record from Alexandria describes an optimized crystal structure of Li6TlIn12. The functional is GGA-PBE.

Unit cell a=7.6359 b=7.6359 c=7.6359 alpha=88.24 beta=88.24 gamma=88.24
Fractional coordinates of all 19 atoms:
Tl1 0.0000 0.0000 0.0000
In1 0.7939 0.5390 0.4343
Li1 0.7249 0.2653 0.1087
In2 0.6221 0.9777 0.8379
In3 0.2061 0.4610 0.5657
Li2 0.7347 0.8913 0.2751
Li3 0.2653 0.1087 0.7249
Li4 0.8913 0.2751 0.7347
In4 0.9777 0.8379 0.6221
In5 0.1621 0.3779 0.0223
Li5 0.1087 0.7249 0.2653
In6 0.4610 0.5657 0.2061
In7 0.5390 0.4343 0.7939
In8 0.8379 0.6221 0.9777
In9 0.3779 0.0223 0.1621
In10 0.4343 0.7939 0.5390
In11 0.5657 0.2061 0.4610
Li6 0.2751 0.7347 0.8913
In12 0.0223 0.1621 0.3779

Summary:
DOS(E_F)	7.6	states/eV/f.u.
offset from the most stable computed form	0.0	kJ per mole of atoms
VASP energy	-49.2	eV for the cell shown
crystal system	trigonal

---

[2]
This record from Alexandria describes an optimized crystal structure of Li8Tl3In. The functional is GGA-PBE.

Unit cell a=5.5950 b=6.7268 c=8.7154 alpha=55.15 beta=79.42 gamma=107.27
Fractional coordinates of all 12 atoms:
Li1 0.3790 0.5024 0.4580
Tl1 0.3995 0.0000 0.4657
Tl2 0.3576 0.5017 0.1177
In1 0.8854 0.0000 0.9633
Li2 0.3692 0.0000 0.1253
Tl3 0.8560 0.4983 0.6194
Li3 0.8671 0.5029 0.2866
Li4 0.3820 0.0000 0.7973
Li5 0.3641 0.4971 0.7895
Li6 0.8752 0.0000 0.6232
Li7 0.8885 0.0000 0.2941
Li8 0.8766 0.4976 0.9603

Summary:
DOS(E_F)	3.3	states/eV/f.u.
VASP energy	-28.1	eV for the cell shown
crystal system	monoclinic

---

[3]
This record from Alexandria describes an optimized crystal structure of Li4Tl3In2. The functional is GGA-PBE.

Unit cell a=4.7848 b=5.0338 c=9.3907 alpha=84.52 beta=89.98 gamma=61.59
Fractional coordinates of all 9 atoms:
Li1 0.9935 0.0133 0.6746
Tl1 0.3388 0.3223 0.4159
In1 0.6733 0.6531 0.2117
Li2 0.6616 0.6767 0.8954
In2 0.3267 0.3469 0.7883
Tl2 0.0000 0.0000 0.0000
Tl3 0.6612 0.6777 0.5841
Li3 0.0065 0.9867 0.3254
Li4 0.3384 0.3233 0.1046

Summary:
DOS(E_F)	2.6	states/eV/f.u.
VASP energy	-21.9	eV for the cell shown
crystal system	monoclinic

---

[4]
This record from Alexandria describes an optimized crystal structure of Li2Tl3In9. The functional is GGA-PBE.

Unit cell a=4.8961 b=9.1060 c=9.1060 alpha=78.22 beta=74.41 gamma=74.41
Fractional coordinates of all 14 atoms:
In1 0.0000 0.5000 0.5000
Tl1 0.7098 0.2902 0.2902
In2 0.1410 0.5701 0.1478
In3 0.6326 0.7343 0.0005
Tl2 0.2902 0.7098 0.7098
Li1 0.5000 0.3474 0.6526
Tl3 0.0000 0.0000 0.0000
In4 0.6326 0.0005 0.7343
Li2 0.5000 0.6526 0.3474
In5 0.3674 0.2657 0.9995
In6 0.8590 0.4299 0.8522
In7 0.3674 0.9995 0.2657
In8 0.8590 0.8522 0.4299
In9 0.1410 0.1478 0.5701

Summary:
DOS(E_F)	6.6	states/eV/f.u.
VASP energy	-36.2	eV for the cell shown
crystal system	orthorhombic

---

[5]
This record from Alexandria describes an optimized crystal structure of Li4Tl5In2. The functional is GGA-PBE.

Unit cell a=4.7619 b=6.0065 c=10.0560 alpha=104.95 beta=103.92 gamma=90.29
Fractional coordinates of all 11 atoms:
In1 0.5811 0.5713 0.1610
Tl1 0.2017 0.5731 0.4043
Tl2 0.7983 0.4269 0.5957
Li1 0.7154 0.8925 0.4320
In2 0.4189 0.4287 0.8390
Li2 0.0218 0.2892 0.0441
Li3 0.9782 0.7108 0.9559
Li4 0.2846 0.1075 0.5680
Tl3 0.1268 0.0112 0.2553
Tl4 0.8732 0.9888 0.7447
Tl5 0.5000 0.0000 0.0000

Summary:
DOS(E_F)	3.2	states/eV/f.u.
VASP energy	-26.0	eV for the cell shown
crystal system	triclinic

---

[6]
This record from Alexandria describes an optimized crystal structure of Li3Tl3In. The functional is GGA-PBE.

Unit cell a=7.0982 b=7.0982 c=6.5877 alpha=89.99 beta=89.99 gamma=89.43
Fractional coordinates of all 14 atoms:
Tl1 0.4999 0.0001 0.2534
Li1 0.7498 0.2502 0.0000
In1 0.3487 0.3487 0.9997
Li2 0.2524 0.7476 0.5000
Li3 0.2502 0.7498 0.0000
Tl2 0.0000 0.0000 0.7580
Li4 0.7476 0.2524 0.5000
Li5 0.7287 0.7287 0.5000
In2 0.6513 0.6513 0.0003
Tl3 0.0001 0.4999 0.2534
Tl4 0.9999 0.5001 0.7466
Tl5 0.5001 0.9999 0.7466
Tl6 0.0000 0.0000 0.2420
Li6 0.2713 0.2713 0.5000

Summary:
DOS(E_F)	2.7	states/eV/f.u.
offset from the most stable computed form	0.0	kJ per mole of atoms
VASP energy	-33.0	eV for the cell shown
crystal system	orthorhombic

---

[7]
This record from Alexandria describes an optimized crystal structure of LiTl4In. The functional is GGA-PBE.

Unit cell a=4.9003 b=4.9184 c=8.9251 alpha=73.95 beta=74.07 gamma=60.12
Fractional coordinates of all 6 atoms:
Tl1 0.6320 0.6298 0.1062
In1 0.5000 0.5000 0.5000
Li1 0.0000 0.0000 0.0000
Tl2 0.3680 0.3702 0.8938
Tl3 0.1136 0.1104 0.6623
Tl4 0.8864 0.8896 0.3377

Summary:
DOS(E_F)	3.2	states/eV/f.u.
offset from the most stable computed form	9.3	kJ per mole of atoms
VASP energy	-13.9	eV for the cell shown
crystal system	monoclinic

---

[8]
This record from Alexandria describes an optimized crystal structure of Li3TlIn4. The functional is GGA-PBE.

Unit cell a=3.3047 b=4.6226 c=12.3740 alpha=79.93 beta=82.25 gamma=90.12
Fractional coordinates of all 8 atoms:
Li1 0.6500 0.1457 0.7035
Li2 0.3500 0.8543 0.2965
In1 0.8987 0.4020 0.1950
Tl1 0.0000 0.0000 0.0000
In2 0.7816 0.2788 0.4395
In3 0.1013 0.5980 0.8050
Li3 0.5000 0.5000 0.0000
In4 0.2184 0.7212 0.5605

Summary:
DOS(E_F)	2.6	states/eV/f.u.
offset from the most stable computed form	3.7	kJ per mole of atoms
VASP energy	-20.2	eV for the cell shown
crystal system	triclinic

---

Going through the records in order, we get calculated formation energy values of -130, -246, -183, -47, -97, -133, 32, -136 meV per atom.